No. 1
PuInPdPt after structural relaxation, computed with PBE.

abc: 4.850 4.850 4.850
angles: 60.00 60.00 60.00
Fractional positions:
Pt 0.500 0.500 0.500
In 0.250 0.250 0.250
Pd 0.000 0.000 0.000
Pu 0.750 0.750 0.750

Results
- SG: No. 216


No. 2
LiThMgGa after structural relaxation, computed with PBE.

abc: 4.991 4.991 4.991
angles: 60.00 60.00 60.00
Fractional positions:
Mg 0.750 0.750 0.750
Ga 0.500 0.500 0.500
Li 0.000 0.000 0.000
Th 0.250 0.250 0.250

Results
- SG: No. 216


Calculated electronic total energy in order - -7.643; -3.647 eV/atom